This record from Alexandria describes a crystal of InIrBr2 relaxed with PBEsol. The functional is SCAN.

Calculated values
Space-group type: Cm
Crystal system: monoclinic
Formation energy from raw total energies in eV/atom: -0.034

POSCAR file:
```
InIrBr2
1.0
10.0461 0.0000 0.0000
0.0000 3.5650 0.0000
-2.9167 0.0000 5.7773
In Ir Br
2 2 4
direct
0.0000 0.0000 0.0000
0.5000 0.5000 0.0000
0.2260 0.5000 0.9963
0.7260 0.0000 0.9963
0.1589 0.0000 0.6928
0.3399 0.0000 0.2980
0.6589 0.5000 0.6928
0.8399 0.5000 0.2980
```